No. 1
This record from Alexandria via LeMat-Bulk describes a geometry-optimized Rb2HfSeI structure. The functional is PBE.

Summary:
As for the formation energy (no corrections): 0.662 eV per atom. As for the space group: P4/mmm (123).

a b c (Å): 6.712 6.712 5.968
angles (deg): 90.00 90.00 90.00
Site moments in Bohr magnetons follow the coordinates.
Element x y z (fractional)
Se1 0.000 0.000 0.500  -0.03
Hf1 0.500 0.500 0.500  1.38
I1 0.000 0.000 0.000  0.01
Rb1 0.500 0.000 0.000  0.01
Rb2 0.000 0.500 0.000  0.01


No. 2
This record from Alexandria via LeMat-Bulk describes a geometry-optimized SbBr2Cl structure. The functional is PBE.

Summary:
As for the formation energy (no corrections): -0.166 eV per atom. As for the space group: P4mm (99).

a b c (Å): 3.917 3.917 8.090
angles (deg): 90.00 90.00 90.00
Element x y z (fractional)
Sb1 0.500 0.500 0.670
Br1 0.000 0.000 0.935
Cl1 0.000 0.000 0.548
Br2 0.500 0.500 0.348


No. 3
This record from Alexandria via LeMat-Bulk describes a geometry-optimized ErSc2Cu2 structure. The functional is PBE.

Summary:
The calculation puts the formation energy at -0.196 eV/atom. As for the space group: P2_1/m (11).

a b c (Å): 3.329 4.837 12.475
angles (deg): 90.00 97.66 90.00
Element x y z (fractional)
Sc1 0.046 0.750 0.092
Cu1 0.359 0.250 0.718
Sc2 0.768 0.250 0.537
Er1 0.142 0.250 0.284
Cu2 0.457 0.750 0.915
Cu3 0.543 0.250 0.085
Sc3 0.232 0.750 0.463
Cu4 0.641 0.750 0.282
Er2 0.858 0.750 0.716
Sc4 0.954 0.250 0.908


No. 4
This record from Alexandria via LeMat-Bulk describes a geometry-optimized TbPb2IO4 structure. The functional is PBE.

Summary:
As for the formation energy (no corrections): -1.626 eV per atom. As for the space group: P4/mmm (123).

a b c (Å): 4.012 4.012 9.550
angles (deg): 90.00 90.00 90.00
Element x y z (fractional)
O1 0.000 0.500 0.139
Pb1 0.500 0.500 0.254
O2 0.500 0.000 0.861
O3 0.500 0.000 0.139
O4 0.000 0.500 0.861
Tb1 0.000 0.000 0.000
I1 0.000 0.000 0.500
Pb2 0.500 0.500 0.746